[1]
This record from the Alexandria database describes a relaxed structure of KLi2IrCl. The functional is PBE.

abc: 4.7847 4.7847 5.0967
angles: 90.00 90.00 90.00
Space group P4/mmm (No. 123)
Symmetry-distinct sites (fractional):
K  0.0000  0.0000  0.0000 (multiplicity 1)
Li  0.0000  0.5000  0.5000 (multiplicity 2)
Ir  0.5000  0.5000  0.5000 (multiplicity 1)
Cl  0.5000  0.5000  0.0000 (multiplicity 1)

Summary:
formation energy from raw total energies: -80 meV/atom

---

[2]
This record from the Alexandria database describes a relaxed structure of VSn. The functional is PBE.

abc: 6.6930 4.1173 11.4711
angles: 90.00 90.00 90.00
Space group Pnma (No. 62)
Symmetry-distinct sites (fractional):
V  0.0082  0.2500  0.0594 (multiplicity 4)
V  0.0262  0.2500  0.8107 (multiplicity 4)
Sn  0.1540  0.2500  0.5726 (multiplicity 4)
Sn  0.1791  0.2500  0.2960 (multiplicity 4)

Summary:
E_form: 0.192 eV/atom

---

[3]
This record from the Alexandria database describes a relaxed structure of CsAl2CrBr8. The functional is PBE.

abc: 6.9001 6.9001 30.6578
angles: 90.00 90.00 120.00
Space group R-3 (No. 148, hexagonal axes)
Symmetry-distinct sites (fractional):
Cs  0.0000  0.0000  0.0000 (multiplicity 3)
Al  0.0000  0.0000  0.2450 (multiplicity 6)
Cr  0.0000  0.0000  0.5000 (multiplicity 3)
Br  0.0000  0.0000  0.3212 (multiplicity 6)
Br  0.0063  0.6595  0.8885 (multiplicity 18)

Summary:
formation energy from raw total energies: -1058 meV/atom

---

[4]
This record from the Alexandria database describes a relaxed structure of TiHgCl2. The functional is PBE.

abc: 3.3973 3.3973 32.8356
angles: 90.00 90.00 120.00
Space group R-3m (No. 166, hexagonal axes)
Symmetry-distinct sites (fractional):
Ti  0.0000  0.0000  0.0000 (multiplicity 3)
Hg  0.0000  0.0000  0.5000 (multiplicity 3)
Cl  0.0000  0.0000  0.0669 (multiplicity 6)

Summary:
formation energy from raw total energies: -573 meV/atom
energy above the most stable polymorph in this dataset: 0.459 eV per atom

---

[5]
This record from the Alexandria database describes a relaxed structure of Ta2CrCl. The functional is PBE.

abc: 3.2843 4.8964 8.6507
angles: 90.00 90.00 90.00
Space group Cmm2 (No. 35)
Symmetry-distinct sites (fractional):
Ta  0.0000  0.0000  0.0000 (multiplicity 2)
Ta  0.0000  0.5000  0.2670 (multiplicity 2)
Cr  0.0000  0.5000  0.7653 (multiplicity 2)
Cl  0.0000  0.0000  0.5079 (multiplicity 2)

Summary:
formation energy from raw total energies: 204 meV/atom
energy above the most stable polymorph in this dataset: 0.226 eV per atom

---

[6]
This record from the Alexandria database describes a relaxed structure of TcHOsAuN. The functional is PBE.

abc: 4.6699 2.7582 4.9175
angles: 90.00 91.46 90.00
Space group Pm (No. 6)
Symmetry-distinct sites (fractional):
Tc  0.0000  0.0000  0.0000 (multiplicity 1)
H  0.5409  0.5000  0.1901 (multiplicity 1)
Os  0.0044  0.5000  0.5270 (multiplicity 1)
Au  0.4990  0.0000  0.6795 (multiplicity 1)
N  0.7623  0.5000  0.1899 (multiplicity 1)

Summary:
energy above the most stable polymorph in this dataset: 0.000 eV per atom

---

[7]
This record from the Alexandria database describes a relaxed structure of Na2ZrBeTe. The functional is PBE.

abc: 4.9885 4.9885 5.0275
angles: 90.00 90.00 90.00
Space group P4/mmm (No. 123)
Symmetry-distinct sites (fractional):
Na  0.0000  0.5000  0.0000 (multiplicity 2)
Zr  0.0000  0.0000  0.5000 (multiplicity 1)
Be  0.5000  0.5000  0.0000 (multiplicity 1)
Te  0.5000  0.5000  0.5000 (multiplicity 1)

Summary:
formation energy from raw total energies: 763 meV/atom

---

[8]
This record from the Alexandria database describes a relaxed structure of MgScVNi. The functional is PBE.

abc: 10.1610 2.9744 5.3041
angles: 90.00 119.79 90.00
Space group Cm (No. 8)
Symmetry-distinct sites (fractional):
Mg  0.0000  0.0000  0.0000 (multiplicity 2)
Sc  0.4136  0.0000  0.4214 (multiplicity 2)
V  0.2127  0.0000  0.7969 (multiplicity 2)
Ni  0.2045  0.5000  0.4271 (multiplicity 2)

Summary:
energy above the most stable polymorph in this dataset: 0.099 eV per atom
E_form: 0.127 eV/atom

---

no.,total DFT energy (no corrections) (eV/cell)
1,-16.0
2,-101.9
3,-132.1
4,-42.5
5,-68.7
6,-34.9
7,-14.2
8,-44.6